[1]
Below is LaPmCoRh after structural relaxation, with properties calculated at the PBE level.

The structure in extended XYZ format:
```
16
Lattice="7.049 0.000 0.000 0.000 7.049 0.000 0.000 0.000 7.049" Properties=species:S:1:pos:R:3 pbc="T T T"
La 0.000 0.000 0.000
La 0.000 3.525 3.525
La 3.525 0.000 3.525
La 3.525 3.525 0.000
Pm 0.000 0.000 3.525
Pm 0.000 3.525 0.000
Pm 3.525 0.000 0.000
Pm 3.525 3.525 3.525
Co 1.762 1.762 1.762
Co 1.762 5.287 5.287
Co 5.287 1.762 5.287
Co 5.287 5.287 1.762
Rh 1.762 1.762 5.287
Rh 1.762 5.287 1.762
Rh 5.287 1.762 1.762
Rh 5.287 5.287 5.287
```

Values from the calculation:
- E_tot (eV/atom) = -6.341
- DFT formation energy (eV/atom) = -0.31
- symmetry = F-43m (216)

***

[2]
Below is Ga2AgHg after structural relaxation, with properties calculated at the PBE level.

The structure in extended XYZ format:
```
16
Lattice="7.778 0.000 0.000 0.000 7.778 0.000 0.000 0.000 5.720" Properties=species:S:1:pos:R:3 pbc="T T T"
Ga 1.821 1.945 0.715
Ga 1.945 5.710 2.145
Ga 1.945 5.958 5.005
Ga 2.069 1.945 3.575
Ga 5.710 5.834 3.575
Ga 5.834 1.821 5.005
Ga 5.834 2.069 2.145
Ga 5.958 5.834 0.715
Ag 0.000 0.000 0.000
Ag 0.000 3.889 1.430
Ag 3.889 0.000 4.290
Ag 3.889 3.889 2.860
Hg 0.000 0.000 2.860
Hg 0.000 3.889 4.290
Hg 3.889 0.000 1.430
Hg 3.889 3.889 0.000
```

Values from the calculation:
- E_tot (eV/atom) = -2.166
- DFT formation energy (eV/atom) = 0.14
- symmetry = I-42d (122)

***

[3]
Below is CePmGdY after structural relaxation, with properties calculated at the PBE level.

The structure in extended XYZ format:
```
16
Lattice="8.095 0.000 0.000 0.000 8.095 0.000 0.000 0.000 8.095" Properties=species:S:1:pos:R:3 pbc="T T T"
Ce 0.000 0.000 0.000
Ce 0.000 4.047 4.047
Ce 4.047 0.000 4.047
Ce 4.047 4.047 0.000
Pm 2.024 2.024 6.071
Pm 2.024 6.071 2.024
Pm 6.071 2.024 2.024
Pm 6.071 6.071 6.071
Gd 2.024 2.024 2.024
Gd 2.024 6.071 6.071
Gd 6.071 2.024 6.071
Gd 6.071 6.071 2.024
Y 0.000 0.000 4.047
Y 0.000 4.047 0.000
Y 4.047 0.000 0.000
Y 4.047 4.047 4.047
```

Values from the calculation:
- E_tot (eV/atom) = -7.639
- DFT formation energy (eV/atom) = 0.17
- symmetry = F-43m (216)

***

[4]
Below is InNi2W after structural relaxation, with properties calculated at the PBE level.

The structure in extended XYZ format:
```
4
Lattice="2.837 0.000 0.000 0.000 2.837 0.000 0.000 0.000 7.213" Properties=species:S:1:pos:R:3 pbc="T T T"
In 0.000 0.000 0.000
Ni 1.418 1.418 1.910
Ni 1.418 1.418 5.303
W 0.000 0.000 3.606
```

Values from the calculation:
- E_tot (eV/atom) = -6.761
- DFT formation energy (eV/atom) = 0.05
- symmetry = P4/mmm (123)

***

[5]
Below is HfZrSn after structural relaxation, with properties calculated at the PBE level.

The structure in extended XYZ format:
```
6
Lattice="3.147 0.000 0.000 -0.184 6.296 0.000 -1.541 -1.554 6.868" Properties=species:S:1:pos:R:3 pbc="T T T"
Hf -0.061 1.593 2.338
Hf 1.482 3.150 4.531
Zr -0.130 4.716 2.306
Zr 1.551 0.026 4.562
Sn 1.573 0.000 0.000
Sn 1.481 3.148 0.000
```

Values from the calculation:
- E_tot (eV/atom) = -7.746
- DFT formation energy (eV/atom) = -0.25
- symmetry = P-1 (2)

***

[6]
Below is RuSeS2N after structural relaxation, with properties calculated at the PBE level.

The structure in extended XYZ format:
```
5
Lattice="4.791 0.000 0.000 0.000 4.791 0.000 0.000 0.000 3.669" Properties=species:S:1:pos:R:3 pbc="T T T"
Ru 0.000 0.000 0.000
Se 2.396 2.396 1.834
S 0.000 2.396 0.000
S 2.396 0.000 0.000
N 0.000 0.000 1.834
```

Values from the calculation:
- E_tot (eV/atom) = -5.253
- symmetry = P4/mmm (123)
- uncorrected formation energy (meV/atom) = 615
- polymorph energy (0 for the lowest one) (meV per atom) = 0

***

[7]
Below is Mn3IBr after structural relaxation, with properties calculated at the PBE level.

The structure in extended XYZ format:
```
5
Lattice="4.838 0.000 0.000 0.000 4.838 0.000 0.000 0.000 4.838" Properties=species:S:1:pos:R:3 pbc="T T T"
Mn 0.000 0.000 2.419
Mn 0.000 2.419 0.000
Mn 2.419 0.000 0.000
I 2.419 2.419 2.419
Br 0.000 0.000 0.000
```

Values from the calculation:
- E_tot (eV/atom) = -5.156
- symmetry = Pm-3m (221)
- uncorrected formation energy (meV/atom) = 990
- polymorph energy (0 for the lowest one) (meV per atom) = 0

***

[8]
Below is Pm6Pr8Nd after structural relaxation, with properties calculated at the PBE level.

The structure in extended XYZ format:
```
15
Lattice="4.768 2.753 6.812 -4.768 2.753 6.812 0.000 -5.506 6.812" Properties=species:S:1:pos:R:3 pbc="T T T"
Pm -2.616 -2.379 9.729
Pm -3.368 1.076 10.706
Pm 0.752 -3.455 10.706
Pm -0.752 3.455 9.729
Pm 3.368 -1.076 9.729
Pm 2.616 2.379 10.706
Pr 0.000 0.000 1.490
Pr -0.542 -2.029 6.899
Pr -1.486 1.484 6.899
Pr -2.028 -0.545 13.536
Pr 2.028 0.545 6.899
Pr 1.486 -1.484 13.536
Pr 0.542 2.029 13.536
Pr 0.000 0.000 18.945
Nd 0.000 0.000 10.217
```

Values from the calculation:
- E_tot (eV/atom) = -4.627
- DFT formation energy (eV/atom) = 0.14
- symmetry = R-3 (148)
- polymorph energy (0 for the lowest one) (meV per atom) = 0

***

M_tot list, top to bottom, in μB per formula unit: 0.6 0.0 10.4 0.0 0.0 0.0 11.3 0.0